Below is an optimized crystal structure of ScI2O6, with properties calculated at the PBE-GGA level.

Geometry as extended XYZ:
```
18
Lattice="-5.002 1.524 1.950 -3.784 -5.419 -3.140 0.986 -2.491 6.809" Properties=species:S:1:pos:R:3 pbc="T T T"
Sc -0.643 -2.343 6.507
Sc -7.157 -4.043 -0.888
I -2.760 -4.587 4.396
I -1.284 -1.791 2.865
I -5.040 -1.799 1.223
I -6.516 -4.595 2.754
O -4.857 -4.241 2.052
O -6.555 -2.064 2.225
O -2.943 -2.145 3.567
O -1.245 -4.322 3.394
O -7.470 -4.675 1.110
O -5.633 -2.669 -0.361
O -0.330 -1.711 4.509
O -2.167 -3.717 5.980
O -2.713 -6.606 3.913
O -2.099 -0.244 1.747
O -5.087 0.220 1.706
O -5.701 -6.142 3.873
```

- volume (Å³/cell) = 287.1
- E (eV per atom) = -5.373
- magnetization (Bohr magnetons per cell) = 0.0
- space group = No. 15